Compound: Sb28Mo9Ru3
Source: the Alexandria database
Functional: PBE
Structure: optimized geometry

Computed properties:
Its space-group type is No. 8. The crystal system is monoclinic. As for the uncorrected formation energy: -101 meV/atom. Its total energy is -244.77 eV for the cell shown.

a = 8.309 Å, b = 8.309 Å, c = 13.615 Å
α = 90.22°, β = 90.22°, γ = 70.23°
Fractional positions:
Sb (0.000, 0.326, 0.162)
Sb (0.000, 0.676, 0.163)
Sb (0.001, 0.501, 0.912)
Sb (0.002, 0.502, 0.413)
Sb (0.126, 0.126, 0.787)
Sb (0.127, 0.127, 0.540)
Sb (0.162, 0.838, 0.000)
Sb (0.164, 0.838, 0.326)
Sb (0.176, 0.501, 0.663)
Sb (0.326, 0.000, 0.162)
Sb (0.338, 0.663, 0.825)
Sb (0.339, 0.664, 0.501)
Sb (0.376, 0.376, 0.036)
Sb (0.376, 0.376, 0.290)
Sb (0.501, 0.001, 0.912)
Sb (0.501, 0.176, 0.663)
Sb (0.501, 0.826, 0.664)
Sb (0.502, 0.002, 0.413)
Sb (0.623, 0.623, 0.039)
Sb (0.626, 0.626, 0.287)
Sb (0.663, 0.338, 0.825)
Sb (0.664, 0.339, 0.501)
Sb (0.676, 0.000, 0.163)
Sb (0.826, 0.501, 0.664)
Sb (0.838, 0.162, 0.000)
Sb (0.838, 0.164, 0.326)
Sb (0.874, 0.874, 0.789)
Sb (0.876, 0.876, 0.537)
Mo (0.159, 0.842, 0.663)
Mo (0.327, 0.327, 0.836)
Mo (0.328, 0.328, 0.490)
Mo (0.340, 0.659, 0.164)
Mo (0.659, 0.340, 0.164)
Mo (0.670, 0.670, 0.834)
Mo (0.827, 0.827, 0.336)
Mo (0.828, 0.828, 0.993)
Mo (0.842, 0.159, 0.663)
Ru (0.170, 0.170, 0.333)
Ru (0.170, 0.170, 0.994)
Ru (0.670, 0.670, 0.493)